No. 1
First-principles (PBE with a Hubbard U) data for a relaxed structure of VCF3, as listed in the Alexandria database.

Cell and atoms, written as extended XYZ:
```
5
Lattice="-0.9335 -2.0954 3.2924 3.7037 -1.5428 0.0683 1.2302 3.0548 2.2929" Properties=species:S:1:pos:R:3 pbc="T T T"
C 2.0002 -0.2917 2.8268
F 0.6151 1.5274 1.1465
F -0.4668 -1.0477 1.6462
F 1.8519 -0.7714 0.0341
V 0.0000 0.0000 0.0000
```

Computed properties:
- offset from the most stable computed form (meV per atom) = 0
- crystal system = cubic
- N(E_F) (states/eV per atom) = 1.371

No. 2
First-principles (PBE with a Hubbard U) data for a relaxed structure of VC2F, as listed in the Alexandria database.

Cell and atoms, written as extended XYZ:
```
8
Lattice="-2.1476 -3.6229 1.5429 3.8116 -1.4714 1.8506 -0.3211 0.0157 6.1096" Properties=species:S:1:pos:R:3 pbc="T T T"
C 2.1649 -1.1469 2.7825
C -1.0774 -2.6660 2.8174
F 0.8320 -2.5471 1.6967
V 0.0000 0.0000 0.0000
V -0.8183 -3.0772 4.6746
C 0.1500 -1.8086 5.7415
C 1.4484 -4.5358 7.6646
F 2.1613 -2.0014 4.8284
```

Computed properties:
- offset from the most stable computed form (meV per atom) = 0
- crystal system = tetragonal
- N(E_F) (states/eV per atom) = 0.476

No. 3
First-principles (PBE with a Hubbard U) data for a relaxed structure of VCF2, as listed in the Alexandria database.

Cell and atoms, written as extended XYZ:
```
4
Lattice="-0.0867 7.6676 6.0106 -0.6573 5.8736 7.7456 1.7879 6.3585 7.1624" Properties=species:S:1:pos:R:3 pbc="T T T"
C 0.0000 0.0000 0.0000
F 0.9212 17.5617 18.4608
F 0.1226 2.3380 2.4577
V 0.5219 9.9498 10.4593
```

Computed properties:
- offset from the most stable computed form (meV per atom) = 318
- crystal system = trigonal
- N(E_F) (states/eV per atom) = 0.291

No. 4
First-principles (PBE with a Hubbard U) data for a relaxed structure of VCF3, as listed in the Alexandria database.

Cell and atoms, written as extended XYZ:
```
5
Lattice="-3.2666 -1.8392 -1.1079 2.0753 -2.1871 -2.4880 0.5507 -2.6673 2.8041" Properties=species:S:1:pos:R:3 pbc="T T T"
V -0.3203 -3.3468 -0.3959
F -1.6333 -0.9196 -0.5540
F 0.2754 -1.3336 1.4021
C 0.0000 0.0000 0.0000
F 1.0377 -1.0936 -1.2440
```

Computed properties:
- offset from the most stable computed form (meV per atom) = 723
- crystal system = cubic
- N(E_F) (states/eV per atom) = 1.556